Material: LaTm14Th
Method: DFT, GGA-PBE
State: optimized geometry

Lattice parameters (Å, degrees): 10.9734 8.0536 11.1263 90.00 90.00 90.00
With the nearest neighbours (Å) after each atom.
Space group Amm2 (No. 38)
Symmetry-distinct sites (fractional):
La 0.0000 0.0000 0.0000 x2  10 Tm 3.37-3.52
Tm 0.0000 0.2062 0.7210 x4  7 Tm 3.32-3.58, 2 Th 3.35-3.59, 2 La 3.41-3.52
Tm 0.2375 0.0000 0.2051 x4  9 Tm 3.37-3.67, 1 La 3.46, 1 Th 3.65
Tm 0.2528 0.2125 0.9248 x8  9 Tm 3.29-3.59, 1 La 3.37, 1 Th 3.62
Tm 0.2667 0.0000 0.6481 x4  10 Tm 3.40-3.69, 1 Th 3.77
Tm 0.5000 0.0000 0.4097 x2  12 Tm 3.46-3.69
Tm 0.5000 0.0000 0.8575 x2  10 Tm 3.29-3.52
Tm 0.5000 0.2061 0.1365 x4  11 Tm 3.32-3.59
Th 0.0000 0.0000 0.4346 x2  10 Tm 3.35-3.65

Values from the calculation:
ΔH_f (0 K) (eV/f.u.): 1.0

***

Material: BaPuAs2S8
Method: DFT, GGA-PBE
State: optimized geometry

Lattice parameters (Å, degrees): 6.2403 6.2403 9.2641 90.00 90.00 120.00
With the nearest neighbours (Å) after each atom.
Space group P-3 (No. 147)
Symmetry-distinct sites (fractional):
Ba 0.0000 0.0000 0.0000 x1  12 S 3.59-3.61
Pu 0.0000 0.0000 0.5000 x1  6 S 2.69
As 0.3333 0.6667 0.7545 x2  4 S 2.13-2.23
S 0.0110 0.6718 0.3157 x6  1 As 2.23
S 0.3333 0.6667 0.9847 x2  1 As 2.13

Values from the calculation:
Formation energy without anion corrections (kcal/mol of atoms): -14.8

***

Material: Ti5CoBi
Method: DFT, GGA-PBE
State: optimized geometry

Lattice parameters (Å, degrees): 9.2661 6.8561 9.0646 90.00 116.56 90.00
With the nearest neighbours (Å) after each atom.
Space group C2/c (No. 15)
Symmetry-distinct sites (fractional):
Ti 0.0000 0.0486 0.2500 x4  2 Co 2.29
Ti 0.1274 0.3442 0.5011 x8  5 Ti 2.62-2.88, 1 Co 2.64, 1 Bi 2.83
Ti 0.2002 0.3001 0.1873 x8  4 Ti 2.73-2.87, 1 Co 2.78, 1 Bi 2.83
Co 0.0000 0.0000 0.0000 x4  2 Ti 2.29
Bi 0.0000 0.3709 0.7500 x4  9 Ti 2.83-3.13

Values from the calculation:
ΔH_f (0 K) (eV/f.u.): 1.4

***

Material: Pu6BiAs5
Method: DFT, GGA-PBE
State: optimized geometry

Lattice parameters (Å, degrees): 7.2839 12.6204 7.2774 90.00 109.59 90.00
With the nearest neighbours (Å) after each atom.
Space group C2/m (No. 12)
Symmetry-distinct sites (fractional):
Pu 0.2353 0.0000 0.2563 x4  5 As 2.85-2.96, 1 Bi 3.10
Pu 0.2379 0.1753 0.7399 x8  5 As 2.89-2.99, 1 Bi 3.11
Bi 0.0000 0.5000 0.0000 x2  6 Pu 3.10-3.11
As 0.0000 0.0000 0.5000 x2  6 Pu 2.85-2.99
As 0.0000 0.1675 0.0000 x4  6 Pu 2.96-2.97
As 0.0000 0.3407 0.5000 x4  6 Pu 2.89-2.99

Values from the calculation:
ΔH_f (0 K) (eV/f.u.): -10.5

***

Material: TlBiPO2
Method: DFT, GGA-PBE
State: optimized geometry

Lattice parameters (Å, degrees): 4.2421 4.2421 5.5305 90.00 90.00 90.00
With the nearest neighbours (Å) after each atom.
Space group P4/mmm (No. 123)
Symmetry-distinct sites (fractional):
Tl 0.0000 0.0000 0.0000 x1  4 P 3.00
Bi 0.5000 0.5000 0.5000 x1  4 O 2.12
P 0.5000 0.5000 0.0000 x1  2 Bi 2.77, 4 Tl 3.00
O 0.0000 0.5000 0.5000 x2  2 Bi 2.12

Values from the calculation:
Formation energy without anion corrections (kcal/mol of atoms): -3.8
E above lowest polymorph (meV/atom): 0

***

Material: CaIr3S
Method: DFT, GGA-PBE
State: optimized geometry

Lattice parameters (Å, degrees): 4.4871 4.4871 4.4871 90.00 90.00 90.00
With the nearest neighbours (Å) after each atom.
Space group Pm-3m (No. 221)
Symmetry-distinct sites (fractional):
Ca 0.0000 0.0000 0.0000 x1  12 Ir 3.17
Ir 0.0000 0.5000 0.5000 x3  2 S 2.24
S 0.5000 0.5000 0.5000 x1  6 Ir 2.24

Values from the calculation:
Formation energy without anion corrections (kcal/mol of atoms): 4.4
E above lowest polymorph (meV/atom): 0

***

Material: Ca2La2Ir
Method: DFT, GGA-PBE
State: optimized geometry

Lattice parameters (Å, degrees): 5.6297 5.6297 5.8448 90.00 90.00 90.00
With the nearest neighbours (Å) after each atom.
Space group P4/mmm (No. 123)
Symmetry-distinct sites (fractional):
Ca 0.0000 0.0000 0.0000 x1  2 Ir 2.92
Ca 0.5000 0.5000 0.0000 x1  4 Ca 3.98, 8 La 4.06
La 0.0000 0.5000 0.5000 x2  2 Ir 2.81
Ir 0.0000 0.0000 0.5000 x1  4 La 2.81, 2 Ca 2.92

Values from the calculation:
ΔH_f (0 K) (eV/f.u.): -1.7
E above lowest polymorph (meV/atom): 0

***

Material: Pm2Sm3Tl4
Method: DFT, GGA-PBE
State: optimized geometry

Lattice parameters (Å, degrees): 9.3349 5.3926 10.6910 90.00 90.07 90.00
With the nearest neighbours (Å) after each atom.
Space group C2/m (No. 12)
Symmetry-distinct sites (fractional):
Pm 0.1671 0.0000 0.2789 x4  7 Tl 3.36-3.45
Sm 0.0000 0.5000 0.5000 x2  6 Tl 3.29-3.30
Sm 0.1664 0.0000 0.9233 x4  4 Tl 3.21-3.44, 3 Sm 3.51-3.52
Tl 0.0004 0.5000 0.1520 x4  3 Sm 3.21-3.22, 1 Tl 3.25, 3 Pm 3.40
Tl 0.1664 0.0000 0.6014 x4  4 Sm 3.29-3.44, 4 Pm 3.36-3.45

Values from the calculation:
ΔH_f (0 K) (eV/f.u.): -2.8
E above lowest polymorph (meV/atom): 0

***

Material: Sm4InGe2
Method: DFT, GGA-PBE
State: optimized geometry

Lattice parameters (Å, degrees): 4.8046 4.8046 31.3499 90.00 90.00 120.00
With the nearest neighbours (Å) after each atom.
Space group R-3m (No. 166, hexagonal axes)
Symmetry-distinct sites (fractional):
Sm 0.0000 0.0000 0.1159 x6  3 Ge 3.16, 3 In 3.20
Sm 0.0000 0.0000 0.2973 x6  4 Ge 2.95-3.26
In 0.0000 0.0000 0.5000 x3  2 Ge 3.10, 6 Sm 3.20
Ge 0.0000 0.0000 0.4012 x6  7 Sm 2.95-3.26, 1 In 3.10

Values from the calculation:
ΔH_f (0 K) (eV/f.u.): -3.5

***

Material: TmNp4S7
Method: DFT, GGA-PBE
State: optimized geometry

Lattice parameters (Å, degrees): 12.9966 3.8298 11.4297 90.00 105.08 90.00
With the nearest neighbours (Å) after each atom.
Space group Cm (No. 8)
Symmetry-distinct sites (fractional):
Tm 0.0000 0.0000 0.0000 x2  6 S 2.68-2.77
Np 0.1192 0.0000 0.4233 x2  6 S 2.69-2.74
Np 0.2321 0.0000 0.8499 x2  6 S 2.69-2.80
Np 0.3188 0.5000 0.2415 x2  7 S 2.78-2.97
Np 0.4207 0.0000 0.6144 x2  7 S 2.74-2.95
S 0.0762 0.0000 0.6418 x2  4 Np 2.69-2.74
S 0.1107 0.5000 0.9218 x2  2 Tm 2.68, 2 Np 2.74
S 0.1586 0.0000 0.2033 x2  1 Tm 2.68, 3 Np 2.69-2.78
S 0.2756 0.5000 0.4768 x2  5 Np 2.74-2.89
S 0.3530 0.5000 0.7756 x2  4 Np 2.75-2.95, 1 Tm 2.77
S 0.3836 0.0000 0.0751 x2  2 Tm 2.71, 3 Np 2.80-2.97
S 0.4628 0.0000 0.3745 x2  5 Np 2.74-2.93

Values from the calculation:
Formation energy without anion corrections (kcal/mol of atoms): -33.7

***

Material: YP2Au
Method: DFT, GGA-PBE
State: optimized geometry

Lattice parameters (Å, degrees): 6.7759 6.7759 6.7759 90.00 90.00 90.00
With the nearest neighbours (Å) after each atom.
Space group F-43m (No. 216)
Symmetry-distinct sites (fractional):
Y 0.0000 0.0000 0.0000 x4  4 P 2.93, 4 Au 2.93
P 0.0000 0.0000 0.5000 x4  4 Au 2.93, 4 P 2.93
P 0.2500 0.2500 0.2500 x4  4 P 2.93, 4 Y 2.93
Au 0.2500 0.2500 0.7500 x4  4 Y 2.93, 4 P 2.93

Values from the calculation:
ΔH_f (0 K) (eV/f.u.): -0.7
E above lowest polymorph (meV/atom): 549

***

Number 1: M_tot 0.00 μB/f.u.. Number 2: M_tot 3.99 μB/f.u.. Number 3: M_tot 0.00 μB/f.u.. Number 4: M_tot 29.99 μB/f.u.. Number 5: M_tot 0.00 μB/f.u.. Number 6: M_tot 0.00 μB/f.u.. Number 7: M_tot 0.00 μB/f.u.. Number 8: M_tot 0.00 μB/f.u.. Number 9: M_tot 0.00 μB/f.u.. Number 10: M_tot 8.52 μB/f.u.. Number 11: M_tot 0.00 μB/f.u..